Record 1
! Tm5PuRu4 | Alexandria | PBE | optimized geometry; values from VASP
! - VASP energy (eV for the cell shown) = -76.99
! - M_tot (μB per formula unit) = 3.69
&SYSTEM
  ibrav = 0, nat = 10, ntyp = 3
/
ATOMIC_SPECIES
Tm 168.93 Tm.upf
Pu 244.00 Pu.upf
Ru 101.07 Ru.upf
ATOMIC_POSITIONS crystal
Tm 0.000 0.000 0.000
Tm 0.329 0.329 0.479
Tm 0.334 0.334 0.978
Tm 0.666 0.666 0.022
Tm 0.671 0.671 0.521
Pu 0.000 0.000 0.500
Ru 0.153 0.153 0.750
Ru 0.499 0.499 0.263
Ru 0.501 0.501 0.737
Ru 0.847 0.847 0.250
CELL_PARAMETERS angstrom
7.225 -2.362 0.000
7.225 2.362 0.000
-0.790 0.000 6.593

Record 2
! Zr2AgSn2 | Alexandria | PBE | optimized geometry; values from VASP
! - VASP energy (eV for the cell shown) = -58.52
! - E above lowest polymorph (eV per formula unit) = 0.00
! - M_tot (μB per formula unit) = 0.00
&SYSTEM
  ibrav = 0, nat = 10, ntyp = 3
/
ATOMIC_SPECIES
Zr 91.22 Zr.upf
Ag 107.87 Ag.upf
Sn 118.71 Sn.upf
ATOMIC_POSITIONS crystal
Zr 0.171 0.329 0.000
Zr 0.329 0.829 0.000
Zr 0.671 0.171 0.000
Zr 0.829 0.671 0.000
Ag 0.000 0.000 0.500
Ag 0.500 0.500 0.500
Sn 0.136 0.636 0.500
Sn 0.364 0.136 0.500
Sn 0.636 0.864 0.500
Sn 0.864 0.364 0.500
CELL_PARAMETERS angstrom
7.316 0.000 0.000
0.000 7.316 0.000
0.000 0.000 4.177

Record 3
! Tb5Pr4In2 | Alexandria | PBE | optimized geometry; values from VASP
! - VASP energy (eV for the cell shown) = -45.91
! - M_tot (μB per formula unit) = 0.00
&SYSTEM
  ibrav = 0, nat = 11, ntyp = 3
/
ATOMIC_SPECIES
Tb 158.93 Tb.upf
Pr 140.91 Pr.upf
In 114.82 In.upf
ATOMIC_POSITIONS crystal
Tb 0.000 0.000 0.000
Tb 0.149 0.149 0.149
Tb 0.303 0.303 0.303
Tb 0.697 0.697 0.697
Tb 0.851 0.851 0.851
Pr 0.073 0.073 0.073
Pr 0.226 0.226 0.226
Pr 0.774 0.774 0.774
Pr 0.927 0.927 0.927
In 0.377 0.377 0.377
In 0.623 0.623 0.623
CELL_PARAMETERS angstrom
2.642 1.526 15.903
-2.642 1.526 15.903
0.000 -3.051 15.903

Record 4
! Mg2FeW | Alexandria | PBE | optimized geometry; values from VASP
! - VASP energy (eV for the cell shown) = -23.09
! - E above lowest polymorph (eV per formula unit) = 0.78
! - M_tot (μB per formula unit) = 2.36
&SYSTEM
  ibrav = 0, nat = 4, ntyp = 3
/
ATOMIC_SPECIES
Mg 24.30 Mg.upf
Fe 55.84 Fe.upf
W 183.84 W.upf
ATOMIC_POSITIONS crystal
Mg 0.000 0.000 0.237
Mg 0.000 0.000 0.763
Fe 0.500 0.500 0.000
W 0.500 0.500 0.500
CELL_PARAMETERS angstrom
2.729 0.000 0.000
0.000 2.729 0.000
0.000 0.000 8.698

Record 5
! DyHo8Er3 | Alexandria | PBE | optimized geometry; values from VASP
! - VASP energy (eV for the cell shown) = -54.01
! - M_tot (μB per formula unit) = 0.00
&SYSTEM
  ibrav = 0, nat = 12, ntyp = 3
/
ATOMIC_SPECIES
Dy 162.50 Dy.upf
Ho 164.93 Ho.upf
Er 167.26 Er.upf
ATOMIC_POSITIONS crystal
Dy 0.000 0.000 0.000
Ho 0.000 0.334 0.250
Ho 0.000 0.334 0.750
Ho 0.000 0.666 0.250
Ho 0.000 0.666 0.750
Ho 0.500 0.167 0.251
Ho 0.500 0.167 0.749
Ho 0.500 0.833 0.251
Ho 0.500 0.833 0.749
Er 0.000 0.000 0.500
Er 0.500 0.500 0.000
Er 0.500 0.500 0.500
CELL_PARAMETERS angstrom
5.542 0.000 0.000
0.000 9.592 0.000
-0.021 0.000 6.925

Record 6
! Cs2SnBiI6 | Alexandria | PBE | optimized geometry; values from VASP
! - formation energy from raw total energies (eV/atom) = -0.8513
! - VASP energy (eV for the cell shown) = -27.40
! - M_tot (μB per formula unit) = 0.00
&SYSTEM
  ibrav = 0, nat = 10, ntyp = 4
/
ATOMIC_SPECIES
Cs 132.91 Cs.upf
Sn 118.71 Sn.upf
Bi 208.98 Bi.upf
I 126.90 I.upf
ATOMIC_POSITIONS crystal
Cs 0.250 0.750 0.500
Cs 0.750 0.250 0.500
Sn 0.000 0.000 0.000
Bi 0.500 0.500 0.000
I 0.249 0.249 0.499
I 0.249 0.751 0.000
I 0.250 0.250 0.000
I 0.750 0.750 0.000
I 0.751 0.249 0.000
I 0.751 0.751 0.501
CELL_PARAMETERS angstrom
-4.448 4.448 6.310
4.448 -4.448 6.310
4.448 4.448 -6.310

Record 7
! LiNpUPt | Alexandria | PBE | optimized geometry; values from VASP
! - VASP energy (eV for the cell shown) = -131.59
! - M_tot (μB per formula unit) = 6.04
&SYSTEM
  ibrav = 0, nat = 16, ntyp = 4
/
ATOMIC_SPECIES
Li 6.94 Li.upf
Np 237.00 Np.upf
U 238.03 U.upf
Pt 195.08 Pt.upf
ATOMIC_POSITIONS crystal
Li 0.000 0.000 0.000
Li 0.000 0.500 0.500
Li 0.500 0.000 0.500
Li 0.500 0.500 0.000
Np 0.250 0.250 0.250
Np 0.250 0.750 0.750
Np 0.750 0.250 0.750
Np 0.750 0.750 0.250
U 0.000 0.000 0.500
U 0.000 0.500 0.000
U 0.500 0.000 0.000
U 0.500 0.500 0.500
Pt 0.250 0.250 0.750
Pt 0.250 0.750 0.250
Pt 0.750 0.250 0.250
Pt 0.750 0.750 0.750
CELL_PARAMETERS angstrom
6.661 0.000 0.000
0.000 6.661 0.000
0.000 0.000 6.661

Record 8
! Y8Mo | Alexandria | PBE | optimized geometry; values from VASP
! - VASP energy (eV for the cell shown) = -60.85
! - M_tot (μB per formula unit) = 0.00
&SYSTEM
  ibrav = 0, nat = 9, ntyp = 2
/
ATOMIC_SPECIES
Y 88.91 Y.upf
Mo 95.94 Mo.upf
ATOMIC_POSITIONS crystal
Y 0.000 0.319 0.319
Y 0.000 0.681 0.681
Y 0.319 0.000 0.319
Y 0.345 0.345 0.690
Y 0.345 0.655 0.000
Y 0.655 0.345 0.000
Y 0.655 0.655 0.310
Y 0.681 0.000 0.681
Mo 0.000 0.000 0.000
CELL_PARAMETERS angstrom
-5.163 5.163 2.475
5.163 -5.163 2.475
5.163 5.163 -2.475